TbHo2ScP4: relaxed, PBE.

The calculation puts the magnetic moment at 0.00 μB per cell. The formation energy is -150.8 kJ per mole of atoms. The calculation puts the raw total energy at -6.7820 eV per atom.

It has space group P2/m (No. 10), with a = 6.827 Å, b = 3.948 Å, c = 6.830 Å, α = 90.00°, β = 109.47° and γ = 90.00°. The inequivalent atoms are Tb at (0.000, 0.000, 0.000), Ho at (0.000, 0.500, 0.500), Ho at (0.500, 0.000, 0.500), Sc at (0.500, 0.500, 0.000), P at (0.256, 0.500, 0.247) and P at (0.260, 0.000, 0.758).